The following is a DFT calculation (GGA-PBE) of Li2YCd6 after structural relaxation.

Lattice parameters (Å, degrees): 5.9851 5.9851 7.7047 90.00 90.00 120.00
Element x y z (fractional)
Li 0.3333 0.6667 0.0000
Li 0.6667 0.3333 0.0000
Y 0.0000 0.0000 0.5000
Cd 0.0000 0.5000 0.3060
Cd 0.0000 0.5000 0.6940
Cd 0.5000 0.0000 0.3060
Cd 0.5000 0.0000 0.6940
Cd 0.5000 0.5000 0.3060
Cd 0.5000 0.5000 0.6940

Values from the calculation:
- polymorph energy (0 for the lowest one) (meV per atom) = 173.0
- uncorrected energy (eV/cell) = -16.060

***

The following is a DFT calculation (GGA-PBE) of LiY3Cd4 after structural relaxation.

Lattice parameters (Å, degrees): 3.6671 3.6671 14.7365 90.00 90.00 90.00
Element x y z (fractional)
Li 0.0000 0.0000 0.0000
Y 0.0000 0.0000 0.2406
Y 0.0000 0.0000 0.5000
Y 0.0000 0.0000 0.7594
Cd 0.5000 0.5000 0.1068
Cd 0.5000 0.5000 0.3707
Cd 0.5000 0.5000 0.6293
Cd 0.5000 0.5000 0.8932

Values from the calculation:
- uncorrected energy (eV/cell) = -27.454

***

The following is a DFT calculation (GGA-PBE) of Li3Y2Cd4 after structural relaxation.

Lattice parameters (Å, degrees): 4.8286 5.6109 8.3731 75.89 89.76 64.69
Element x y z (fractional)
Li 0.0000 0.0000 0.0000
Li 0.3697 0.2616 0.4687
Li 0.6303 0.7384 0.5313
Y 0.2516 0.4944 0.7901
Y 0.7484 0.5056 0.2099
Cd 0.0790 0.8413 0.3631
Cd 0.4325 0.1355 0.1601
Cd 0.5675 0.8645 0.8399
Cd 0.9210 0.1587 0.6369

Values from the calculation:
- polymorph energy (0 for the lowest one) (meV per atom) = 0.0
- uncorrected energy (eV/cell) = -24.499

***

The following is a DFT calculation (GGA-PBE) of LiY3Cd2 after structural relaxation.

Lattice parameters (Å, degrees): 5.2492 15.7658 3.7917 90.00 90.00 90.00
Element x y z (fractional)
Li 0.0000 0.0000 0.0000
Li 0.5000 0.5000 0.0000
Y 0.0000 0.1667 0.5000
Y 0.0000 0.5000 0.5000
Y 0.0000 0.8333 0.5000
Y 0.5000 0.0000 0.5000
Y 0.5000 0.3333 0.5000
Y 0.5000 0.6667 0.5000
Cd 0.0000 0.3370 0.0000
Cd 0.0000 0.6630 0.0000
Cd 0.5000 0.1630 0.0000
Cd 0.5000 0.8370 0.0000

Values from the calculation:
- polymorph energy (0 for the lowest one) (meV per atom) = 0.0
- uncorrected energy (eV/cell) = -48.814

***

The following is a DFT calculation (GGA-PBE) of LiY2Cd8 after structural relaxation.

Lattice parameters (Å, degrees): 4.8388 6.7601 8.2960 104.40 106.40 90.24
Element x y z (fractional)
Li 0.0000 0.0000 0.0000
Y 0.2820 0.3378 0.5656
Y 0.7180 0.6622 0.4344
Cd 0.0964 0.4248 0.1856
Cd 0.1559 0.8820 0.3070
Cd 0.3478 0.8479 0.7029
Cd 0.4800 0.2678 0.9565
Cd 0.5200 0.7322 0.0435
Cd 0.6522 0.1521 0.2971
Cd 0.8441 0.1180 0.6930
Cd 0.9036 0.5752 0.8144

Values from the calculation:
- uncorrected energy (eV/cell) = -24.591

***

The following is a DFT calculation (GGA-PBE) of Li3Y2Cd4 after structural relaxation.

Lattice parameters (Å, degrees): 8.5157 8.5157 8.4086 90.00 90.00 139.18
Element x y z (fractional)
Li 0.0000 0.0000 0.0000
Li 0.0263 0.4737 0.2500
Li 0.4737 0.0263 0.7500
Li 0.5000 0.5000 0.5000
Li 0.5263 0.9737 0.2500
Li 0.9737 0.5263 0.7500
Y 0.1108 0.8892 0.4098
Y 0.3892 0.6108 0.9098
Y 0.6108 0.3892 0.0902
Y 0.8892 0.1108 0.5902
Cd 0.1816 0.8184 0.0283
Cd 0.1956 0.3044 0.2500
Cd 0.3044 0.1956 0.7500
Cd 0.3184 0.6816 0.5283
Cd 0.6816 0.3184 0.4717
Cd 0.6956 0.8044 0.2500
Cd 0.8044 0.6956 0.7500
Cd 0.8184 0.1816 0.9717

Values from the calculation:
- polymorph energy (0 for the lowest one) (meV per atom) = 12.7
- uncorrected energy (eV/cell) = -48.770